Model one:
VASP calculation (SCAN) on BaFeSe2 at its PBEsol-relaxed geometry.

## Properties
Spin magnetization ... 3.73 μB per formula unit

The structure in extended XYZ format:
```
4
Lattice="0.0000 3.5965 3.5965 3.5965 0.0000 3.5965 3.5965 3.5965 0.0000" Properties=species:S:1:pos:R:3 pbc="T T T"
Ba 0.0000 0.0000 0.0000
Fe 5.3947 5.3947 5.3947
Se 1.7982 1.7982 1.7982
Se 3.5965 3.5965 3.5965
```

***

Model two:
VASP calculation (SCAN) on BaFeSe2 at its PBEsol-relaxed geometry.

## Properties
Spin magnetization ... 3.61 μB per formula unit

The structure in extended XYZ format:
```
4
Lattice="5.1148 0.0000 0.0000 0.0000 5.1148 0.0000 0.0000 0.0000 3.6868" Properties=species:S:1:pos:R:3 pbc="T T T"
Ba 0.0000 0.0000 0.0000
Fe 2.5574 2.5574 0.0000
Se 0.0000 2.5574 1.8434
Se 2.5574 0.0000 1.8434
```

***

Q: What are the energies relative to the best structure? A: model one 544; model two 0, in meV/atom.

***

Model one:
VASP calculation (SCAN) on Ba2TaFe at its PBEsol-relaxed geometry.

## Properties
Spin magnetization ... 6.24 μB per formula unit

The structure in extended XYZ format:
```
4
Lattice="0.0000 3.8167 3.8167 3.8167 0.0000 3.8167 3.8167 3.8167 0.0000" Properties=species:S:1:pos:R:3 pbc="T T T"
Ba 1.9084 1.9084 1.9084
Ba 5.7251 5.7251 5.7251
Ta 0.0000 0.0000 0.0000
Fe 3.8167 3.8167 3.8167
```

***

Model two:
VASP calculation (SCAN) on Ba2TaFe at its PBEsol-relaxed geometry.

## Properties
Spin magnetization ... 1.22 μB per formula unit

The structure in extended XYZ format:
```
4
Lattice="-2.2387 2.2387 5.1801 2.2387 -2.2387 5.1801 2.2387 2.2387 -5.1801" Properties=species:S:1:pos:R:3 pbc="T T T"
Ba 2.2387 0.0000 2.5901
Ba 0.0000 2.2387 2.5901
Ta 0.0000 0.0000 0.0000
Fe 0.0000 0.0000 5.1801
```

***

Q: What are the energies relative to the best structure? A: model one 46; model two 0, in meV/atom.

***

Model one:
VASP calculation (SCAN) on BaFeTc2 at its PBEsol-relaxed geometry.

## Properties
Spin magnetization ... 3.23 μB per formula unit

The structure in extended XYZ format:
```
4
Lattice="2.5945 -5.0302 0.0000 2.5945 5.0302 0.0000 0.0000 0.0000 2.7668" Properties=species:S:1:pos:R:3 pbc="T T T"
Ba 0.0000 0.0000 0.0000
Fe 2.5945 0.0000 0.0000
Tc 1.2973 2.5151 1.3834
Tc 1.2973 -2.5151 1.3834
```

***

Model two:
VASP calculation (SCAN) on BaFeTc2 at its PBEsol-relaxed geometry.

## Properties
Spin magnetization ... 1.87 μB per formula unit

The structure in extended XYZ format:
```
4
Lattice="3.6677 0.0000 0.0000 0.0000 4.3065 0.0000 -1.4408 0.0000 5.7516" Properties=species:S:1:pos:R:3 pbc="T T T"
Ba 0.0000 0.0000 0.0000
Fe 1.1134 0.0000 2.8758
Tc 0.1593 2.1533 3.5761
Tc 2.0675 2.1533 2.1755
```

***

Q: What are the energies relative to the best structure? A: model one 677; model two 0, in meV/atom.

***

Model one:
VASP calculation (SCAN) on BaFeTe at its PBEsol-relaxed geometry.

## Properties
Spin magnetization ... 3.61 μB per formula unit

The structure in extended XYZ format:
```
3
Lattice="-1.8413 1.8413 5.8592 1.8413 -1.8413 5.8592 1.8413 1.8413 -5.8592" Properties=species:S:1:pos:R:3 pbc="T T T"
Ba 0.0000 0.0000 0.0000
Fe 0.0000 0.0000 8.2908
Te 0.0000 0.0000 3.3190
```

***

Model two:
VASP calculation (SCAN) on BaFeTe at its PBEsol-relaxed geometry.

## Properties
Spin magnetization ... 3.05 μB per formula unit

The structure in extended XYZ format:
```
3
Lattice="0.0000 3.4051 3.4051 3.4051 0.0000 3.4051 3.4051 3.4051 0.0000" Properties=species:S:1:pos:R:3 pbc="T T T"
Ba 0.0000 0.0000 0.0000
Fe 5.1077 5.1077 5.1077
Te 3.4051 3.4051 3.4051
```

***

Q: What are the energies relative to the best structure? A: model one 14; model two 0, in meV/atom.

***

Model one:
VASP calculation (SCAN) on BaFeW2 at its PBEsol-relaxed geometry.

## Properties
Spin magnetization ... 2.02 μB per formula unit

The structure in extended XYZ format:
```
4
Lattice="-1.4907 2.8042 4.8270 1.4907 -2.8042 4.8270 1.4907 2.8042 -4.8270" Properties=species:S:1:pos:R:3 pbc="T T T"
Ba 0.0000 0.0000 0.0000
Fe 1.4907 0.0000 2.7316
W 0.0000 0.0000 4.7150
W 0.0000 2.8042 1.9411
```

***

Model two:
VASP calculation (SCAN) on BaFeW2 at its PBEsol-relaxed geometry.

## Properties
Spin magnetization ... 2.64 μB per formula unit

The structure in extended XYZ format:
```
4
Lattice="3.7921 0.0000 0.0000 0.0000 3.7921 0.0000 0.0000 0.0000 5.2608" Properties=species:S:1:pos:R:3 pbc="T T T"
Ba 0.0000 0.0000 0.0000
Fe 1.8960 1.8960 0.0000
W 0.0000 1.8960 2.6304
W 1.8960 0.0000 2.6304
```

***

Q: What are the energies relative to the best structure? A: model one 0; model two 283, in meV/atom.

***

Model one:
VASP calculation (SCAN) on BaYFe2 at its PBEsol-relaxed geometry.

## Properties
Spin magnetization ... 5.40 μB per formula unit

The structure in extended XYZ format:
```
4
Lattice="0.0000 3.4532 3.4532 3.4532 0.0000 3.4532 3.4532 3.4532 0.0000" Properties=species:S:1:pos:R:3 pbc="T T T"
Ba 0.0000 0.0000 0.0000
Y 5.1798 5.1798 5.1798
Fe 1.7266 1.7266 1.7266
Fe 3.4532 3.4532 3.4532
```

***

Model two:
VASP calculation (SCAN) on BaYFe2 at its PBEsol-relaxed geometry.

## Properties
Spin magnetization ... 4.64 μB per formula unit

The structure in extended XYZ format:
```
4
Lattice="5.0080 0.0000 0.0000 0.0000 5.0080 0.0000 0.0000 0.0000 3.4719" Properties=species:S:1:pos:R:3 pbc="T T T"
Ba 0.0000 0.0000 0.0000
Y 2.5040 2.5040 0.0000
Fe 0.0000 2.5040 1.7359
Fe 2.5040 0.0000 1.7359
```

***

Q: What are the energies relative to the best structure? A: model one 196; model two 0, in meV/atom.